(1)
Computed, not measured: CdHgBiPb2 after structural relaxation at the PBE level of DFT.

Calculated values
As for the space group: P2_1/m, No. 11.

Cell and atoms, written as CIF:
```
data_CdHgBiPb2
_space_group_name_H-M_alt 'P 1'
_space_group_IT_number 1
_cell_length_a 7.446
_cell_length_b 5.072
_cell_length_c 7.762
_cell_angle_alpha 90.00
_cell_angle_beta 90.95
_cell_angle_gamma 90.00
loop_
_space_group_symop_operation_xyz
'x,y,z'
loop_
_atom_site_label
_atom_site_type_symbol
_atom_site_fract_x
_atom_site_fract_y
_atom_site_fract_z
Cd1 Cd 0.040 0.250 0.137
Cd2 Cd 0.960 0.750 0.863
Hg1 Hg 0.225 0.250 0.762
Hg2 Hg 0.775 0.750 0.238
Bi1 Bi 0.422 0.250 0.335
Bi2 Bi 0.578 0.750 0.665
Pb1 Pb 0.163 0.750 0.467
Pb2 Pb 0.349 0.750 0.047
Pb3 Pb 0.651 0.250 0.953
Pb4 Pb 0.837 0.250 0.533
```



(2)
Computed, not measured: CdHgBiPb2 after structural relaxation at the PBE level of DFT.

Calculated values
As for the space group: P4/mmm, No. 123.

Cell and atoms, written as CIF:
```
data_CdHgBiPb2
_space_group_name_H-M_alt 'P 1'
_space_group_IT_number 1
_cell_length_a 5.777
_cell_length_b 5.777
_cell_length_c 5.648
_cell_angle_alpha 90.00
_cell_angle_beta 90.00
_cell_angle_gamma 90.00
loop_
_space_group_symop_operation_xyz
'x,y,z'
loop_
_atom_site_label
_atom_site_type_symbol
_atom_site_fract_x
_atom_site_fract_y
_atom_site_fract_z
Cd1 Cd 0.000 0.000 0.000
Hg1 Hg 0.500 0.500 0.500
Bi1 Bi 0.000 0.000 0.500
Pb1 Pb 0.000 0.500 0.000
Pb2 Pb 0.500 0.000 0.000
```



(3)
Computed, not measured: Cd4Hg2BiPb2 after structural relaxation at the PBE level of DFT.

Calculated values
As for the space group: P3m1, No. 156.

Cell and atoms, written as CIF:
```
data_Cd4Hg2BiPb2
_space_group_name_H-M_alt 'P 1'
_space_group_IT_number 1
_cell_length_a 3.411
_cell_length_b 3.411
_cell_length_c 24.053
_cell_angle_alpha 90.00
_cell_angle_beta 90.00
_cell_angle_gamma 120.00
loop_
_space_group_symop_operation_xyz
'x,y,z'
loop_
_atom_site_label
_atom_site_type_symbol
_atom_site_fract_x
_atom_site_fract_y
_atom_site_fract_z
Cd1 Cd 0.000 0.000 0.000
Cd2 Cd 0.000 0.000 0.200
Cd3 Cd 0.667 0.333 0.300
Cd4 Cd 0.667 0.333 0.504
Hg1 Hg 0.000 0.000 0.402
Hg2 Hg 0.667 0.333 0.100
Bi1 Bi 0.000 0.000 0.759
Pb1 Pb 0.667 0.333 0.633
Pb2 Pb 0.667 0.333 0.885
```



(4)
Computed, not measured: CdHg4BiPb after structural relaxation at the PBE level of DFT.

Calculated values
As for the space group: C2/m, No. 12.

Cell and atoms, written as CIF:
```
data_CdHg4BiPb
_space_group_name_H-M_alt 'P 1'
_space_group_IT_number 1
_cell_length_a 9.419
_cell_length_b 9.419
_cell_length_c 8.193
_cell_angle_alpha 114.01
_cell_angle_beta 114.01
_cell_angle_gamma 38.53
loop_
_space_group_symop_operation_xyz
'x,y,z'
loop_
_atom_site_label
_atom_site_type_symbol
_atom_site_fract_x
_atom_site_fract_y
_atom_site_fract_z
Cd1 Cd 0.190 0.190 0.489
Cd2 Cd 0.810 0.810 0.511
Hg1 Hg 0.141 0.654 0.870
Hg2 Hg 0.266 0.266 0.011
Hg3 Hg 0.338 0.338 0.438
Hg4 Hg 0.346 0.859 0.130
Hg5 Hg 0.654 0.141 0.870
Hg6 Hg 0.662 0.662 0.562
Hg7 Hg 0.734 0.734 0.989
Hg8 Hg 0.859 0.346 0.130
Bi1 Bi 0.084 0.084 0.688
Bi2 Bi 0.916 0.916 0.312
Pb1 Pb 0.468 0.468 0.268
Pb2 Pb 0.532 0.532 0.732
```



(5)
Computed, not measured: CdHgBiPb3 after structural relaxation at the PBE level of DFT.

Calculated values
As for the space group: P2_1/m, No. 11.

Cell and atoms, written as CIF:
```
data_CdHgBiPb3
_space_group_name_H-M_alt 'P 1'
_space_group_IT_number 1
_cell_length_a 9.531
_cell_length_b 3.772
_cell_length_c 10.785
_cell_angle_alpha 90.00
_cell_angle_beta 108.36
_cell_angle_gamma 90.00
loop_
_space_group_symop_operation_xyz
'x,y,z'
loop_
_atom_site_label
_atom_site_type_symbol
_atom_site_fract_x
_atom_site_fract_y
_atom_site_fract_z
Cd1 Cd 0.117 0.250 0.478
Cd2 Cd 0.883 0.750 0.522
Hg1 Hg 0.363 0.750 0.478
Hg2 Hg 0.637 0.250 0.522
Bi1 Bi 0.253 0.250 0.029
Bi2 Bi 0.747 0.750 0.971
Pb1 Pb 0.092 0.750 0.195
Pb2 Pb 0.203 0.750 0.755
Pb3 Pb 0.495 0.250 0.750
Pb4 Pb 0.505 0.750 0.250
Pb5 Pb 0.797 0.250 0.245
Pb6 Pb 0.908 0.250 0.805
```



(6)
Computed, not measured: Cd2HgBiPb4 after structural relaxation at the PBE level of DFT.

Calculated values
As for the space group: P4/mmm, No. 123.

Cell and atoms, written as CIF:
```
data_Cd2HgBiPb4
_space_group_name_H-M_alt 'P 1'
_space_group_IT_number 1
_cell_length_a 4.968
_cell_length_b 4.968
_cell_length_c 10.205
_cell_angle_alpha 90.00
_cell_angle_beta 90.00
_cell_angle_gamma 90.00
loop_
_space_group_symop_operation_xyz
'x,y,z'
loop_
_atom_site_label
_atom_site_type_symbol
_atom_site_fract_x
_atom_site_fract_y
_atom_site_fract_z
Cd1 Cd 0.000 0.000 0.131
Cd2 Cd 0.000 0.000 0.869
Hg1 Hg 0.500 0.500 0.500
Bi1 Bi 0.500 0.500 0.000
Pb1 Pb 0.000 0.500 0.309
Pb2 Pb 0.000 0.500 0.691
Pb3 Pb 0.500 0.000 0.309
Pb4 Pb 0.500 0.000 0.691
```



(7)
Computed, not measured: CdHg2Bi2Pb2 after structural relaxation at the PBE level of DFT.

Calculated values
As for the space group: C2/m, No. 12.

Cell and atoms, written as CIF:
```
data_CdHg2Bi2Pb2
_space_group_name_H-M_alt 'P 1'
_space_group_IT_number 1
_cell_length_a 4.625
_cell_length_b 4.625
_cell_length_c 11.615
_cell_angle_alpha 93.02
_cell_angle_beta 93.02
_cell_angle_gamma 66.03
loop_
_space_group_symop_operation_xyz
'x,y,z'
loop_
_atom_site_label
_atom_site_type_symbol
_atom_site_fract_x
_atom_site_fract_y
_atom_site_fract_z
Cd1 Cd 0.000 0.000 0.000
Hg1 Hg 0.347 0.347 0.890
Hg2 Hg 0.653 0.653 0.110
Bi1 Bi 0.331 0.331 0.586
Bi2 Bi 0.669 0.669 0.414
Pb1 Pb 0.014 0.014 0.276
Pb2 Pb 0.986 0.986 0.724
```



(8)
Computed, not measured: Cd2Hg2Bi2Pb after structural relaxation at the PBE level of DFT.

Calculated values
As for the space group: R-3m, No. 166.

Cell and atoms, written as CIF:
```
data_Cd2Hg2Bi2Pb
_space_group_name_H-M_alt 'P 1'
_space_group_IT_number 1
_cell_length_a 8.381
_cell_length_b 8.381
_cell_length_c 8.381
_cell_angle_alpha 37.73
_cell_angle_beta 37.73
_cell_angle_gamma 37.73
loop_
_space_group_symop_operation_xyz
'x,y,z'
loop_
_atom_site_label
_atom_site_type_symbol
_atom_site_fract_x
_atom_site_fract_y
_atom_site_fract_z
Cd1 Cd 0.067 0.067 0.067
Cd2 Cd 0.933 0.933 0.933
Hg1 Hg 0.361 0.361 0.361
Hg2 Hg 0.639 0.639 0.639
Bi1 Bi 0.228 0.228 0.228
Bi2 Bi 0.772 0.772 0.772
Pb1 Pb 0.500 0.500 0.500
```



(9)
Computed, not measured: PmCdHgBi after structural relaxation at the PBE level of DFT.

Calculated values
As for the space group: F-43m, No. 216.

Cell and atoms, written as CIF:
```
data_PmCdHgBi
_space_group_name_H-M_alt 'P 1'
_space_group_IT_number 1
_cell_length_a 5.398
_cell_length_b 5.398
_cell_length_c 5.398
_cell_angle_alpha 60.00
_cell_angle_beta 60.00
_cell_angle_gamma 60.00
loop_
_space_group_symop_operation_xyz
'x,y,z'
loop_
_atom_site_label
_atom_site_type_symbol
_atom_site_fract_x
_atom_site_fract_y
_atom_site_fract_z
Pm1 Pm 0.000 0.000 0.000
Cd1 Cd 0.500 0.500 0.500
Hg1 Hg 0.250 0.250 0.250
Bi1 Bi 0.750 0.750 0.750
```



(10)
Computed, not measured: PmCdHgBi after structural relaxation at the PBE level of DFT.

Calculated values
As for the space group: Pmmm, No. 47.

Cell and atoms, written as CIF:
```
data_PmCdHgBi
_space_group_name_H-M_alt 'P 1'
_space_group_IT_number 1
_cell_length_a 4.513
_cell_length_b 4.679
_cell_length_c 5.106
_cell_angle_alpha 90.00
_cell_angle_beta 90.00
_cell_angle_gamma 90.00
loop_
_space_group_symop_operation_xyz
'x,y,z'
loop_
_atom_site_label
_atom_site_type_symbol
_atom_site_fract_x
_atom_site_fract_y
_atom_site_fract_z
Pm1 Pm 0.000 0.000 0.000
Cd1 Cd 0.000 0.500 0.500
Hg1 Hg 0.500 0.000 0.500
Bi1 Bi 0.500 0.500 0.000
```



(11)
Computed, not measured: Cd2HgBiPt after structural relaxation at the PBE level of DFT.

Calculated values
As for the space group: P4/mmm, No. 123.

Cell and atoms, written as CIF:
```
data_Cd2HgBiPt
_space_group_name_H-M_alt 'P 1'
_space_group_IT_number 1
_cell_length_a 5.308
_cell_length_b 5.308
_cell_length_c 5.274
_cell_angle_alpha 90.00
_cell_angle_beta 90.00
_cell_angle_gamma 90.00
loop_
_space_group_symop_operation_xyz
'x,y,z'
loop_
_atom_site_label
_atom_site_type_symbol
_atom_site_fract_x
_atom_site_fract_y
_atom_site_fract_z
Cd1 Cd 0.000 0.500 0.000
Cd2 Cd 0.500 0.000 0.000
Hg1 Hg 0.000 0.000 0.500
Bi1 Bi 0.500 0.500 0.500
Pt1 Pt 0.500 0.500 0.000
```



(12)
Computed, not measured: PuCdHgBi after structural relaxation at the PBE level of DFT.

Calculated values
As for the space group: F-43m, No. 216.

Cell and atoms, written as CIF:
```
data_PuCdHgBi
_space_group_name_H-M_alt 'P 1'
_space_group_IT_number 1
_cell_length_a 5.352
_cell_length_b 5.352
_cell_length_c 5.352
_cell_angle_alpha 60.00
_cell_angle_beta 60.00
_cell_angle_gamma 60.00
loop_
_space_group_symop_operation_xyz
'x,y,z'
loop_
_atom_site_label
_atom_site_type_symbol
_atom_site_fract_x
_atom_site_fract_y
_atom_site_fract_z
Pu1 Pu 0.000 0.000 0.000
Cd1 Cd 0.500 0.500 0.500
Hg1 Hg 0.250 0.250 0.250
Bi1 Bi 0.750 0.750 0.750
```



| no. | energy (eV per atom) | energy relative to the elements (kJ per mole of atoms) | N(E_F) (states/eV/cell) |
| --- | --- | --- | --- |
| 1 | -2.47 | 3 | 4.33 |
| 2 | -2.04 | 44 | 3.31 |
| 3 | -1.68 | 5 | 3.48 |
| 4 | -1.34 | 4 | 4.01 |
| 5 | -2.65 | 5 | 6.02 |
| 6 | -2.44 | 16 | 5.76 |
| 7 | -2.31 | 7 | 3.46 |
| 8 | -1.92 | 6 | 2.63 |
| 9 | -2.75 | -28 | 3.41 |
| 10 | -2.92 | -44 | 1.16 |
| 11 | -2.41 | 0 | 1.11 |
| 12 | -5.00 | -13 | 12.47 |